Record 1
## NaMg3 (PBE-GGA)

Data for an optimized crystal structure of NaMg3.

Cell lengths 5.6987, 5.6987, 13.2317 Å; angles 149.99, 149.99, 33.27 degrees
Element x y z (fractional)
Mg 0.9793 0.9793 0.7386
Mg 0.0000 0.0000 0.5000
Mg 0.0207 0.0207 0.2614
Na 0.0000 0.0000 0.0000

Calculated values
Formation energy from the elements (eV/f.u.): 0.37
V (Å³/cell): 100.9

=====

Record 2
## BaAcPdRh (PBE-GGA)

Data for an optimized crystal structure of BaAcPdRh.

Cell lengths 5.3575, 5.3575, 5.3575 Å; angles 60.00, 60.00, 60.00 degrees
Element x y z (fractional)
Ba 0.7500 0.7500 0.7500
Pd 0.0000 0.0000 0.0000
Rh 0.5000 0.5000 0.5000
Ac 0.2500 0.2500 0.2500

Calculated values
Formation energy from the elements (eV/f.u.): -1.63
V (Å³/cell): 108.7

=====

Record 3
## BeZn2InSe (PBE-GGA)

Data for an optimized crystal structure of BeZn2InSe.

Cell lengths 5.1196, 4.5691, 5.1196 Å; angles 90.00, 90.00, 90.00 degrees
Element x y z (fractional)
Be 0.0000 0.5000 0.0000
Zn 0.5000 0.0000 0.0000
Zn 0.0000 0.0000 0.5000
Se 0.5000 0.5000 0.5000
In 0.0000 0.0000 0.0000

Calculated values
Raw formation energy (meV per atom): 709.8
V (Å³/cell): 119.8

=====

Record 4
## Sc2CdAg (PBE-GGA)

Data for an optimized crystal structure of Sc2CdAg.

Cell lengths 7.8367, 7.8367, 6.3038 Å; angles 51.57, 51.57, 90.00 degrees
Site moments in Bohr magnetons follow the coordinates.
Element x y z (fractional)
Ag 0.2500 0.7500 0.5000  0.01
Ag 0.5000 0.5000 0.0000  0.01
Cd 0.0000 0.0000 0.0000  0.00
Cd 0.7500 0.2500 0.5000  0.00
Sc 0.3750 0.3973 0.7500  0.16
Sc 0.1473 0.6250 0.2500  0.16
Sc 0.8750 0.8527 0.7500  0.16
Sc 0.6027 0.1250 0.2500  0.16

Calculated values
Formation energy from the elements (eV/f.u.): 0.51
V (Å³/cell): 184.6

=====

Record 5
## Se2F (PBE-GGA)

Data for an optimized crystal structure of Se2F.

Cell lengths 3.2586, 3.4388, 6.0508 Å; angles 106.44, 105.32, 90.02 degrees
Element x y z (fractional)
Se 0.5639 0.7240 0.6643
Se 0.7161 0.4120 0.9765
F 0.4355 0.1683 0.3991

Calculated values
Offset from the most stable computed form (meV/atom): 58.1
Raw formation energy (meV per atom): -599.7
V (Å³/cell): 62.5

=====

Record 6
## CuIr2 (PBE-GGA)

Data for an optimized crystal structure of CuIr2.

Cell lengths 12.2207, 12.2207, 12.2207 Å; angles 167.45, 167.45, 17.78 degrees
Element x y z (fractional)
Ir 0.4205 0.4205 0.0000
Ir 0.1705 0.6705 0.5000
Ir 0.3295 0.8295 0.5000
Ir 0.5795 0.5795 0.0000
Cu 0.0000 0.0000 0.0000
Cu 0.7500 0.2500 0.5000

Calculated values
Offset from the most stable computed form (meV/atom): 269.3
Formation energy from the elements (eV/f.u.): 0.99
V (Å³/cell): 86.2

=====

Record 7
## TlCuTeI2 (PBE-GGA)

Data for an optimized crystal structure of TlCuTeI2.

Cell lengths 5.6082, 5.6082, 5.2089 Å; angles 90.00, 90.00, 90.00 degrees
Element x y z (fractional)
Te 0.0000 0.0000 0.5000
Cu 0.0000 0.0000 0.0000
Tl 0.5000 0.5000 0.5000
I 0.0000 0.5000 0.0000
I 0.5000 0.0000 0.0000

Calculated values
Offset from the most stable computed form (meV/atom): 0.0
Raw formation energy (meV per atom): -54.3
V (Å³/cell): 163.8

=====

Record 8
## La3Pr4Dy3 (PBE-GGA)

Data for an optimized crystal structure of La3Pr4Dy3.

Cell lengths 3.8713, 9.6233, 9.6233 Å; angles 89.63, 90.00, 90.00 degrees
Element x y z (fractional)
La 0.0000 0.9964 0.4937
La 0.5000 0.1692 0.8308
La 0.0000 0.5063 0.0036
Dy 0.5000 0.8298 0.1702
Dy 0.5000 0.6700 0.6676
Dy 0.5000 0.3324 0.3300
Pr 0.0000 0.1270 0.1331
Pr 0.0000 0.8669 0.8730
Pr 0.0000 0.6283 0.3717
Pr 0.0000 0.3737 0.6263

Calculated values
Formation energy from the elements (eV/f.u.): 0.87
V (Å³/cell): 358.5